(1)
A plane-wave DFT calculation with PBE was carried out for an optimized crystal structure of MgCo2As.

abc: 7.962 2.930 4.802
angles: 90.00 102.26 90.00
Space group C2/m (No. 12)
One atom of each set of equivalent atoms:
Mg: 0.000 0.000 0.000
Co: 0.237 0.000 0.707
As: 0.000 0.500 0.500

Calculated values
energy of formation from the pure elements: 0.2 eV/f.u.
uncorrected energy: -5.073 eV per atom
crystal system: monoclinic
Fermi-level density of states: 3.25 states/eV/f.u.

=====

(2)
A plane-wave DFT calculation with PBE was carried out for an optimized crystal structure of LaSiRh2.

abc: 6.607 6.607 6.607
angles: 90.00 90.00 90.00
Space group Fm-3m (No. 225)
One atom of each set of equivalent atoms:
La: 0.000 0.000 0.000
Si: 0.000 0.000 0.500
Rh: 0.250 0.250 0.250

Calculated values
uncorrected energy: -6.756 eV per atom
crystal system: cubic
uncorrected formation energy: -0.49 eV per atom
Fermi-level density of states: 5.46 states/eV/f.u.

=====

(3)
A plane-wave DFT calculation with PBE was carried out for an optimized crystal structure of SmGaBr2.

abc: 4.0490 4.0490 29.0542
angles: 90.00 90.00 120.00
Space group R-3m (No. 166, hexagonal axes)
One atom of each set of equivalent atoms:
Sm: 0.0000 0.0000 0.0000
Ga: 0.0000 0.0000 0.5000
Br: 0.0000 0.0000 0.0976

Calculated values
uncorrected energy: -3.442 eV per atom
crystal system: trigonal
uncorrected formation energy: -0.67 eV per atom
Fermi-level density of states: 1.13 states/eV/f.u.

=====

(4)
A plane-wave DFT calculation with PBE was carried out for an optimized crystal structure of Mg2GaFe.

abc: 2.9173 2.9173 29.9188
angles: 90.00 90.00 120.00
Space group R-3m (No. 166, hexagonal axes)
One atom of each set of equivalent atoms:
Mg: 0.0000 0.0000 0.0867
Ga: 0.0000 0.0000 0.5000
Fe: 0.0000 0.0000 0.0000

Calculated values
energy of formation from the pure elements: 1.5 eV/f.u.
uncorrected energy: -3.298 eV per atom
crystal system: trigonal
Fermi-level density of states: 2.44 states/eV/f.u.

=====

(5)
A plane-wave DFT calculation with PBE was carried out for an optimized crystal structure of BaHgCl.

abc: 7.793 7.793 7.793
angles: 90.00 90.00 90.00
Space group F-43m (No. 216)
One atom of each set of equivalent atoms:
Ba: 0.000 0.000 0.000
Hg: 0.250 0.250 0.250
Cl: 0.250 0.250 0.750

Calculated values
distance to the lowest polymorph of the same formula: 302.4 meV per atom
uncorrected energy: -2.414 eV per atom
crystal system: cubic
uncorrected formation energy: -1.06 eV per atom
Fermi-level density of states: 3.32 states/eV/f.u.

=====

(6)
A plane-wave DFT calculation with PBE was carried out for an optimized crystal structure of Zn2InCuSe4.

abc: 5.808 5.808 11.629
angles: 90.00 90.00 90.00
Space group I-42m (No. 121)
One atom of each set of equivalent atoms:
Zn: 0.000 0.500 0.250
In: 0.000 0.000 0.000
Cu: 0.000 0.000 0.500
Se: 0.235 0.235 0.372

Calculated values
uncorrected energy: -3.486 eV per atom
crystal system: tetragonal
uncorrected formation energy: -0.57 eV per atom
Fermi-level density of states: 0.22 states/eV/f.u.

=====

(7)
A plane-wave DFT calculation with PBE was carried out for an optimized crystal structure of Cs3Na12F5.

abc: 17.860 17.860 17.860
angles: 90.00 90.00 90.00
Space group Ia-3d (No. 230)
One atom of each set of equivalent atoms:
Cs: 0.000 0.250 0.125
Na: 0.022 0.138 0.931
F: 0.000 0.000 0.000
F: 0.000 0.250 0.375

Calculated values
uncorrected energy: -2.457 eV per atom
crystal system: cubic
uncorrected formation energy: -1.07 eV per atom
Fermi-level density of states: 6.80 states/eV/f.u.

=====

(8)
A plane-wave DFT calculation with PBE was carried out for an optimized crystal structure of YCu.

abc: 4.0748 4.0748 6.6172
angles: 90.00 90.00 120.00
Space group P6_3/mmc (No. 194)
One atom of each set of equivalent atoms:
Y: 0.3333 0.6667 0.2500
Cu: 0.0000 0.0000 0.0000

Calculated values
energy of formation from the pure elements: -0.1 eV/f.u.
uncorrected energy: -5.331 eV per atom
crystal system: hexagonal
Fermi-level density of states: 1.78 states/eV/f.u.